<one>
Below is an optimized crystal structure of RbCuNi2, with properties calculated at the PBE-GGA level.

Calculated values
total magnetization: 1.4 μB/f.u.
calculated density: 4.7 Mg/m³
SG: I4_1/amd

Structure (POSCAR):
```
RbCuNi2
1.0
-1.304 2.291 3.978
-4.439 0.423 -1.699
-4.894 -5.852 4.629
Ni Cu Rb
4 2 2
direct
0.375 0.125 0.250
0.375 0.625 0.250
0.375 0.625 0.750
0.875 0.625 0.750
0.500 0.500 0.000
0.250 0.750 0.500
0.000 0.000 0.000
0.750 0.250 0.500
```

<two>
Below is an optimized crystal structure of RbCuNi2, with properties calculated at the PBE-GGA level.

Calculated values
total magnetization: 0.0 μB/f.u.
calculated density: 6.6 Mg/m³
SG: Fm-3m

Structure (POSCAR):
```
RbCuNi2
1.0
1.482 -3.137 -2.958
1.751 -3.924 1.525
-2.312 -3.892 -0.544
Ni Cu Rb
2 1 1
direct
0.250 0.250 0.250
0.750 0.750 0.750
0.000 0.000 0.000
0.500 0.500 0.500
```

Most favorable first, least favorable last: <one>, <two>